Compound: TmHfTh2
Source: the Alexandria database
Functional: PBE-GGA
Structure: relaxed

Cell: 3.479 3.479 9.661 Å, 90.00 90.00 90.00°
Space group P4/mmm (No. 123)
Symmetry-distinct sites (fractional):
Tm (0.000, 0.000, 0.000)
Hf (0.000, 0.000, 0.500)
Th (0.500, 0.500, 0.264)

Summary:
energy relative to the elements = 0.104 eV per atom
offset from the most stable computed form = 0.00 kcal/mol of atoms
N(E_F) = 5.9 states/eV/cell
VASP energy = -28.85 eV per cell